[1]
An optimized crystal structure of MgAgPb. Source: Alexandria, functional PBE-GGA.

Its crystal system is cubic. For the volume, the calculation gives 76 Å³/f.u. The calculation puts the density at 7.45 g cm⁻³. For the energy of formation from the pure elements, the calculation gives -0.0408 eV per atom. As for the size of the total moment: 0.00 μB per cell.

CIF file:
```
data_MgAgPb
_chemical_formula_sum 'Mg4 Ag4 Pb4'
_cell_length_a 6.712
_cell_length_b 6.712
_cell_length_c 6.712
_cell_angle_alpha 90.00
_cell_angle_beta 90.00
_cell_angle_gamma 90.00
_symmetry_space_group_name_H-M 'F -4 3 m'
_symmetry_Int_Tables_number 216
_symmetry_space_group_name_Hall 'F -4 2 3'
loop_
_atom_site_label
_atom_site_type_symbol
_atom_site_fract_x
_atom_site_fract_y
_atom_site_fract_z
Mg1 Mg 0.000 0.000 0.000
Ag1 Ag 0.250 0.250 0.750
Pb1 Pb 0.000 0.000 0.500
```

[2]
An optimized crystal structure of Mg2AgPb. Source: Alexandria, functional PBE-GGA.

Its crystal system is monoclinic. For the volume, the calculation gives 91 Å³/f.u. The calculation puts the density at 6.62 g cm⁻³. For the energy of formation from the pure elements, the calculation gives -0.0406 eV per atom. As for the size of the total moment: 0.00 μB per cell.

CIF file:
```
data_Mg2AgPb
_chemical_formula_sum 'Mg2 Ag1 Pb1'
_cell_length_a 5.000
_cell_length_b 3.470
_cell_length_c 5.553
_cell_angle_alpha 90.00
_cell_angle_beta 108.88
_cell_angle_gamma 90.00
_symmetry_space_group_name_H-M 'P 1 2/m 1'
_symmetry_Int_Tables_number 10
_symmetry_space_group_name_Hall '-P 2y'
loop_
_atom_site_label
_atom_site_type_symbol
_atom_site_fract_x
_atom_site_fract_y
_atom_site_fract_z
Mg1 Mg 0.000 0.000 0.000
Mg2 Mg 0.000 0.500 0.500
Ag1 Ag 0.500 0.000 0.500
Pb1 Pb 0.500 0.500 0.000
```

[3]
An optimized crystal structure of Mg2AgPb. Source: Alexandria, functional PBE-GGA.

Its crystal system is cubic. For the volume, the calculation gives 92 Å³/f.u. The calculation puts the density at 6.56 g cm⁻³. For the energy of formation from the pure elements, the calculation gives 0.0208 eV per atom. As for the size of the total moment: 0.00 μB per cell.

CIF file:
```
data_Mg2AgPb
_chemical_formula_sum 'Mg8 Ag4 Pb4'
_cell_length_a 7.167
_cell_length_b 7.167
_cell_length_c 7.167
_cell_angle_alpha 90.00
_cell_angle_beta 90.00
_cell_angle_gamma 90.00
_symmetry_space_group_name_H-M 'F -4 3 m'
_symmetry_Int_Tables_number 216
_symmetry_space_group_name_Hall 'F -4 2 3'
loop_
_atom_site_label
_atom_site_type_symbol
_atom_site_fract_x
_atom_site_fract_y
_atom_site_fract_z
Mg1 Mg 0.000 0.000 0.000
Mg2 Mg 0.250 0.250 0.250
Ag1 Ag 0.000 0.000 0.500
Pb1 Pb 0.250 0.250 0.750
```

[4]
An optimized crystal structure of Mg2AgPb2. Source: Alexandria, functional PBE-GGA.

Its crystal system is tetragonal. For the volume, the calculation gives 126 Å³/f.u. The energy above the most stable polymorph in this dataset comes out at 0 meV per atom. The calculation puts the density at 7.52 g cm⁻³. For the energy of formation from the pure elements, the calculation gives 0.0299 eV per atom. As for the size of the total moment: 0.00 μB per cell.

CIF file:
```
data_Mg2AgPb2
_chemical_formula_sum 'Mg4 Ag2 Pb4'
_cell_length_a 7.351
_cell_length_b 7.351
_cell_length_c 4.666
_cell_angle_alpha 90.00
_cell_angle_beta 90.00
_cell_angle_gamma 90.00
_symmetry_space_group_name_H-M 'P 4/m b m'
_symmetry_Int_Tables_number 127
_symmetry_space_group_name_Hall '-P 4 2ab'
loop_
_atom_site_label
_atom_site_type_symbol
_atom_site_fract_x
_atom_site_fract_y
_atom_site_fract_z
Mg1 Mg 0.147 0.353 0.000
Ag1 Ag 0.000 0.000 0.000
Pb1 Pb 0.163 0.663 0.500
```